Computed, not measured: BiSeN2 after structural relaxation at the PBE level of DFT.

Cell lengths 3.7886, 3.7908, 9.3025 Å; angles 98.35, 99.53, 90.29 degrees
Last column: nearest neighbours and their distance in Å.
Space group P1 (No. 1)
Asymmetric unit:
Bi 0.0000 0.0000 0.0000 [1 per cell]  4 Se 2.91-2.93
Se 0.4476 0.4545 0.8717 [1 per cell]  4 Bi 2.91-2.93
N 0.4858 0.7163 0.4065 [1 per cell]  1 N 1.11
N 0.6747 0.8736 0.4982 [1 per cell]  1 N 1.11

Calculated values
Offset from the most stable computed form   0 meV per atom
Crystal system   triclinic